# 1
# S2OF | the Alexandria database | PBE-GGA | relaxed
# ΔE_f (raw) (kJ/mol of formula units): 8
# Energy above the lowest structure with this stoichiometry (eV/atom): 0.000
data_S2OF
_chemical_formula_sum 'S6 O3 F3'
_symmetry_space_group_name_H-M 'R -3 m'
_symmetry_Int_Tables_number 166
_symmetry_space_group_name_Hall '-R 3 2"'
_cell_length_a 2.9083
_cell_length_b 2.9083
_cell_length_c 21.3301
_cell_angle_alpha 90.00
_cell_angle_beta 90.00
_cell_angle_gamma 120.00
loop_
_atom_site_label
_atom_site_type_symbol
_atom_site_fract_x
_atom_site_fract_y
_atom_site_fract_z
S1 S 0.0000 0.0000 0.0765
O1 O 0.0000 0.0000 0.0000
F1 F 0.0000 0.0000 0.5000



# 2
# Y2CuSi3Pt12 | the Alexandria database | PBE-GGA | relaxed
# ΔE_f (raw) (kJ/mol of formula units): -821
data_Y2CuSi3Pt12
_chemical_formula_sum 'Y6 Cu3 Si9 Pt36'
_symmetry_space_group_name_H-M 'R -3 m'
_symmetry_Int_Tables_number 166
_symmetry_space_group_name_Hall '-R 3 2"'
_cell_length_a 8.2419
_cell_length_b 8.2419
_cell_length_c 17.6457
_cell_angle_alpha 90.00
_cell_angle_beta 90.00
_cell_angle_gamma 120.00
loop_
_atom_site_label
_atom_site_type_symbol
_atom_site_fract_x
_atom_site_fract_y
_atom_site_fract_z
Y1 Y 0.0000 0.0000 0.1140
Cu1 Cu 0.0000 0.0000 0.5000
Si1 Si 0.0000 0.5000 0.0000
Pt1 Pt 0.0030 0.5015 0.8693
Pt2 Pt 0.0243 0.5121 0.3699



# 3
# ErPuS | the Alexandria database | PBE-GGA | relaxed
# ΔE_f (raw) (kJ/mol of formula units): -260
data_ErPuS
_chemical_formula_sum 'Er4 Pu4 S4'
_symmetry_space_group_name_H-M 'C 1 2/m 1'
_symmetry_Int_Tables_number 12
_cell_length_a 10.263
_cell_length_b 3.475
_cell_length_c 8.045
_cell_angle_alpha 90.00
_cell_angle_beta 93.76
_cell_angle_gamma 90.00
loop_
_symmetry_equiv_pos_as_xyz
'x,y,z'
'-x,-y,-z'
'-x,y,-z'
'x,-y,z'
'x+1/2,y+1/2,z'
'-x+1/2,-y+1/2,-z'
'-x+1/2,y+1/2,-z'
'x+1/2,-y+1/2,z'
loop_
_atom_site_label
_atom_site_type_symbol
_atom_site_fract_x
_atom_site_fract_y
_atom_site_fract_z
Er1 Er 0.125 0.000 0.143
Pu1 Pu 0.136 0.000 0.591
S1 S 0.109 0.500 0.871



# 4
# Hf3HO | the Alexandria database | PBE-GGA | relaxed
# Energy above the lowest structure with this stoichiometry (eV/atom): 0.000
data_Hf3HO
_chemical_formula_sum 'Hf3 H1 O1'
_symmetry_space_group_name_H-M 'P m -3 m'
_symmetry_Int_Tables_number 221
_symmetry_space_group_name_Hall '-P 4 2 3'
_cell_length_a 4.339
_cell_length_b 4.339
_cell_length_c 4.339
_cell_angle_alpha 90.00
_cell_angle_beta 90.00
_cell_angle_gamma 90.00
loop_
_atom_site_label
_atom_site_type_symbol
_atom_site_fract_x
_atom_site_fract_y
_atom_site_fract_z
Hf1 Hf 0.000 0.000 0.500
H1 H 0.500 0.500 0.500
O1 O 0.000 0.000 0.000



# 5
# TbPr2Y2Er2 | the Alexandria database | PBE-GGA | relaxed
# Energy of formation from the pure elements (eV per atom): 0.085
data_TbPr2Y2Er2
_chemical_formula_sum 'Tb2 Pr4 Y4 Er4'
_symmetry_space_group_name_H-M 'C 1 2/m 1'
_symmetry_Int_Tables_number 12
_cell_length_a 11.795
_cell_length_b 3.527
_cell_length_c 11.872
_cell_angle_alpha 90.00
_cell_angle_beta 108.77
_cell_angle_gamma 90.00
loop_
_symmetry_equiv_pos_as_xyz
'x,y,z'
'-x,-y,-z'
'-x,y,-z'
'x,-y,z'
'x+1/2,y+1/2,z'
'-x+1/2,-y+1/2,-z'
'-x+1/2,y+1/2,-z'
'x+1/2,-y+1/2,z'
loop_
_atom_site_label
_atom_site_type_symbol
_atom_site_fract_x
_atom_site_fract_y
_atom_site_fract_z
Tb1 Tb 0.000 0.000 0.000
Pr1 Pr 0.172 0.500 0.586
Y1 Y 0.048 0.500 0.269
Er1 Er 0.228 0.000 0.866



# 6
# BaTa3Al | the Alexandria database | PBE-GGA | relaxed
# Energy above the lowest structure with this stoichiometry (eV/atom): 1.473
# Energy of formation from the pure elements (eV per atom): 2.941
data_BaTa3Al
_chemical_formula_sum 'Ba1 Ta3 Al1'
_symmetry_space_group_name_H-M 'P m -3 m'
_symmetry_Int_Tables_number 221
_symmetry_space_group_name_Hall '-P 4 2 3'
_cell_length_a 5.068
_cell_length_b 5.068
_cell_length_c 5.068
_cell_angle_alpha 90.00
_cell_angle_beta 90.00
_cell_angle_gamma 90.00
loop_
_atom_site_label
_atom_site_type_symbol
_atom_site_fract_x
_atom_site_fract_y
_atom_site_fract_z
Ba1 Ba 0.000 0.000 0.000
Ta1 Ta 0.000 0.000 0.500
Al1 Al 0.500 0.500 0.500



# 7
# GaMo2C | the Alexandria database | PBE-GGA | relaxed
# Energy above the lowest structure with this stoichiometry (eV/atom): 0.188
# Energy of formation from the pure elements (eV per atom): 0.064
data_GaMo2C
_chemical_formula_sum 'Ga4 Mo8 C4'
_symmetry_space_group_name_H-M 'C m c m'
_symmetry_Int_Tables_number 63
_symmetry_space_group_name_Hall '-C 2c 2'
_cell_length_a 2.987
_cell_length_b 12.046
_cell_length_c 5.887
_cell_angle_alpha 90.00
_cell_angle_beta 90.00
_cell_angle_gamma 90.00
loop_
_atom_site_label
_atom_site_type_symbol
_atom_site_fract_x
_atom_site_fract_y
_atom_site_fract_z
Ga1 Ga 0.000 0.010 0.250
Mo1 Mo 0.000 0.345 0.011
C1 C 0.000 0.222 0.750



# 8
# BPd2O2 | the Alexandria database | PBE-GGA | relaxed
# ΔE_f (raw) (kJ/mol of formula units): 43
# Energy above the lowest structure with this stoichiometry (eV/atom): 0.550
data_BPd2O2
_chemical_formula_sum 'B2 Pd4 O4'
_symmetry_space_group_name_H-M 'P 4/m b m'
_symmetry_Int_Tables_number 127
_symmetry_space_group_name_Hall '-P 4 2ab'
_cell_length_a 4.959
_cell_length_b 4.959
_cell_length_c 4.348
_cell_angle_alpha 90.00
_cell_angle_beta 90.00
_cell_angle_gamma 90.00
loop_
_atom_site_label
_atom_site_type_symbol
_atom_site_fract_x
_atom_site_fract_y
_atom_site_fract_z
B1 B 0.000 0.000 0.000
Pd1 Pd 0.189 0.311 0.500
O1 O 0.209 0.291 0.000



So what do the calculations give for electronic total energy? Going down the list: -3.7492; -6.3496; -8.5713; -7.8726; -5.0931; -5.3037; -8.4141; -5.3077 eV/atom.